Entry 1:
Here is crystalline ReNi2Te at its relaxed geometry from Alexandria via LeMat-Bulk. Energies are from PBE-GGA.

Output
- Symmetry: C2/m
- Formation energy from raw total energies: 508 meV/atom
- Total magnetization: 0.0000 μB/atom
- Calculated volume: 61 Å³/f.u.

Structure (POSCAR):
```
ReNi2Te
1.0
4.5833 -0.0068 -0.0170
3.5552 2.8927 -0.0170
0.7096 0.2516 4.5656
Ni Re Te
2 1 1
direct
0.0117 0.0117 0.9606
0.4883 0.4883 0.5394
0.7500 0.7500 0.7500
0.2500 0.2500 0.2500
```


Entry 2:
Here is crystalline LaSbAu2 at its relaxed geometry from Alexandria via LeMat-Bulk. Energies are from PBE-GGA.

Output
- Symmetry: R3m
- Formation energy from raw total energies: -673 meV/atom
- Total magnetization: 0.0000 μB/atom
- Calculated volume: 102 Å³/f.u.

Structure (POSCAR):
```
LaSbAu2
1.0
-4.2353 -3.9301 -0.6386
-1.7561 -3.0119 -4.6514
0.2042 -5.6893 -1.1756
Au La Sb
2 1 1
direct
0.0309 0.0309 0.0309
0.2607 0.2607 0.2607
0.4988 0.4988 0.4988
0.7096 0.7096 0.7096
```


Entry 3:
Here is crystalline AsBr2F at its relaxed geometry from Alexandria via LeMat-Bulk. Energies are from PBE-GGA.

Output
- Symmetry: P1
- Formation energy from raw total energies: -981 meV/atom
- Total magnetization: 0.0000 μB/atom
- Calculated volume: 160 Å³/f.u.
- Distance to the lowest polymorph of the same formula: 6 meV per atom

Structure (POSCAR):
```
AsBr2F
1.0
1.9418 -8.6746 0.9196
4.1240 0.0476 2.3361
-4.8560 4.2757 1.7886
As Br F
1 2 1
direct
0.5796 0.2673 0.0045
0.1708 0.0909 0.5223
0.6379 0.5489 0.4684
0.6117 0.6289 0.0047
```


Entry 4:
Here is crystalline PuHf2Pt at its relaxed geometry from Alexandria via LeMat-Bulk. Energies are from PBE-GGA.

Output
- Symmetry: P4/mmm
- Total magnetization: 1.3105 μB/atom
- Calculated volume: 79 Å³/f.u.
- Distance to the lowest polymorph of the same formula: 80 meV per atom

Structure (POSCAR):
```
PuHf2Pt
1.0
3.2199 0.0000 0.0000
0.0000 4.9527 0.0000
0.0000 0.0000 4.9527
Hf Pt Pu
2 1 1
direct
0.0000 0.0000 0.5000
0.0000 0.5000 0.0000
0.5000 0.0000 0.0000
0.5000 0.5000 0.5000
```